(1)
# Na2Mg2Ag

A relaxed Na2Mg2Ag crystal (PBE-GGA, Alexandria via LeMat-Bulk).

abc: 7.1257 7.1257 5.4706
angles: 90.00 90.00 90.00
Space group P4/mbm (No. 127)
Inequivalent atoms, fractional coordinates:
1 Na 0.1731 0.3269 0.0000 x4
2 Mg 0.1502 0.6502 0.5000 x4
3 Ag 0.0000 0.0000 0.5000 x2

Properties
Energy above the lowest structure with this stoichiometry: 0.0000 eV per atom
Total magnetization: 0.00 μB/f.u.

=====

(2)
# Hf2CuGe

A relaxed Hf2CuGe crystal (PBE-GGA, Alexandria via LeMat-Bulk).

abc: 3.7611 3.7611 19.0838
angles: 90.00 90.00 120.00
Space group R-3m (No. 166, hexagonal axes)
Inequivalent atoms, fractional coordinates:
1 Hf 0.0000 0.0000 0.2491 x6
2 Cu 0.0000 0.0000 0.0000 x3
3 Ge 0.0000 0.0000 0.5000 x3

Properties
VASP energy: -7.298 eV/atom
Total magnetization: 0.00 μB/f.u.

=====

(3)
# Li2MnGe2

A relaxed Li2MnGe2 crystal (PBE-GGA, Alexandria via LeMat-Bulk).

abc: 3.1704 3.1704 13.4744
angles: 90.00 90.00 90.00
Space group I4/mmm (No. 139)
Inequivalent atoms, fractional coordinates:
1 Li 0.0000 0.5000 0.2500 x4
2 Mn 0.0000 0.0000 0.0000 x2
3 Ge 0.0000 0.0000 0.4014 x4

Properties
Energy above the lowest structure with this stoichiometry: 0.2279 eV per atom
Total magnetization: 0.22 μB/f.u.

=====

(4)
# CrCoAgS2

A relaxed CrCoAgS2 crystal (PBE-GGA, Alexandria via LeMat-Bulk).

abc: 4.7095 4.7095 4.6060
angles: 90.00 90.00 90.00
Space group P4/mmm (No. 123)
Inequivalent atoms, fractional coordinates:
1 Cr 0.0000 0.0000 0.0000 x1
2 Co 0.5000 0.5000 0.0000 x1
3 Ag 0.5000 0.5000 0.5000 x1
4 S 0.0000 0.5000 0.5000 x2

Properties
ΔE_f (raw): 1766 meV/atom
Total magnetization: 0.40 μB/f.u.

=====

(5)
# TlTeAs2

A relaxed TlTeAs2 crystal (PBE-GGA, Alexandria via LeMat-Bulk).

abc: 3.7167 4.4229 6.7274
angles: 90.00 90.00 90.00
Space group Pmmm (No. 47)
Inequivalent atoms, fractional coordinates:
1 Tl 0.0000 0.0000 0.0000 x1
2 Te 0.0000 0.0000 0.5000 x1
3 As 0.5000 0.5000 0.3204 x2

Properties
ΔE_f (raw): 248 meV/atom
Energy above the lowest structure with this stoichiometry: 0.2339 eV per atom
Total magnetization: 0.00 μB/f.u.

=====

(6)
# Zr4CoHg

A relaxed Zr4CoHg crystal (PBE-GGA, Alexandria via LeMat-Bulk).

abc: 6.6735 6.6735 5.6006
angles: 90.00 90.00 90.00
Space group P4/mcc (No. 124)
Inequivalent atoms, fractional coordinates:
1 Zr 0.1394 0.3182 0.0000 x8
2 Co 0.0000 0.0000 0.2500 x2
3 Hg 0.5000 0.5000 0.2500 x2

Properties
Energy above the lowest structure with this stoichiometry: 0.0000 eV per atom
Total magnetization: 0.00 μB/f.u.

=====

(7)
# CaGa2As2

A relaxed CaGa2As2 crystal (PBE-GGA, Alexandria via LeMat-Bulk).

abc: 7.6458 7.6458 3.5850
angles: 90.00 90.00 90.00
Space group P4/mbm (No. 127)
Inequivalent atoms, fractional coordinates:
1 Ca 0.0000 0.0000 0.0000 x2
2 Ga 0.1210 0.3790 0.0000 x4
3 As 0.1751 0.6751 0.5000 x4

Properties
Energy above the lowest structure with this stoichiometry: 0.3713 eV per atom
Total magnetization: 0.00 μB/f.u.

=====

(8)
# MgCdCuIr

A relaxed MgCdCuIr crystal (PBE-GGA, Alexandria via LeMat-Bulk).

abc: 6.3758 6.3758 6.3758
angles: 90.00 90.00 90.00
Space group F-43m (No. 216)
Inequivalent atoms, fractional coordinates:
1 Mg 0.0000 0.0000 0.0000 x4
2 Cd 0.0000 0.0000 0.5000 x4
3 Cu 0.2500 0.2500 0.7500 x4
4 Ir 0.2500 0.2500 0.2500 x4

Properties
VASP energy: -3.905 eV/atom
Total magnetization: 0.00 μB/f.u.

=====

(9)
# DyErSi2Pt5

A relaxed DyErSi2Pt5 crystal (PBE-GGA, Alexandria via LeMat-Bulk).

abc: 4.1770 4.1770 8.9442
angles: 90.00 90.00 90.00
Space group P4/mmm (No. 123)
Inequivalent atoms, fractional coordinates:
1 Dy 0.0000 0.0000 0.0000 x1
2 Er 0.0000 0.0000 0.5000 x1
3 Si 0.5000 0.5000 0.3696 x2
4 Pt 0.0000 0.5000 0.2357 x4
5 Pt 0.5000 0.5000 0.0000 x1

Properties
ΔE_f (raw): -1111 meV/atom
Total magnetization: 0.00 μB/f.u.

=====

(10)
# BaMn3Ga

A relaxed BaMn3Ga crystal (PBE-GGA, Alexandria via LeMat-Bulk).

abc: 4.9679 4.9679 4.9679
angles: 90.00 90.00 90.00
Space group Pm-3m (No. 221)
Inequivalent atoms, fractional coordinates:
1 Ba 0.0000 0.0000 0.0000 x1
2 Mn 0.0000 0.5000 0.5000 x3
3 Ga 0.5000 0.5000 0.5000 x1

Properties
VASP energy: -5.880 eV/atom
Total magnetization: 11.94 μB/f.u.

=====

(11)
# HgSb

A relaxed HgSb crystal (PBE-GGA, Alexandria via LeMat-Bulk).

abc: 5.3347 12.1235 7.7296
angles: 90.00 90.00 90.00
Space group Pmmn (No. 59, origin choice 2)
Inequivalent atoms, fractional coordinates:
1 Hg 0.2500 0.0977 0.1542 x4
2 Hg 0.2500 0.7500 0.2708 x2
3 Sb 0.2500 0.2500 0.8898 x2
4 Sb 0.2500 0.5375 0.4412 x4

Properties
ΔE_f (raw): 120 meV/atom
Energy above the lowest structure with this stoichiometry: 0.0908 eV per atom
Total magnetization: 0.00 μB/f.u.

=====

(12)
# Tb3Cu2Pd5

A relaxed Tb3Cu2Pd5 crystal (PBE-GGA, Alexandria via LeMat-Bulk).

abc: 9.6653 9.6653 3.9587
angles: 90.00 90.00 90.00
Space group P4/mbm (No. 127)
Inequivalent atoms, fractional coordinates:
1 Tb 0.0000 0.0000 0.0000 x2
2 Tb 0.1732 0.3268 0.0000 x4
3 Cu 0.1199 0.6199 0.0000 x4
4 Pd 0.0000 0.5000 0.5000 x2
5 Pd 0.0731 0.7879 0.5000 x8

Properties
VASP energy: -5.508 eV/atom
Total magnetization: 0.00 μB/f.u.

=====

Which formula does entry 7 have?
CaGa2As2

=====

Copy entry 9 word for word.
# DyErSi2Pt5

A relaxed DyErSi2Pt5 crystal (PBE-GGA, Alexandria via LeMat-Bulk).

abc: 4.1770 4.1770 8.9442
angles: 90.00 90.00 90.00
Space group P4/mmm (No. 123)
Inequivalent atoms, fractional coordinates:
1 Dy 0.0000 0.0000 0.0000 x1
2 Er 0.0000 0.0000 0.5000 x1
3 Si 0.5000 0.5000 0.3696 x2
4 Pt 0.0000 0.5000 0.2357 x4
5 Pt 0.5000 0.5000 0.0000 x1

Properties
ΔE_f (raw): -1111 meV/atom
Total magnetization: 0.00 μB/f.u.